Record 1
CoTcPb2 | GGA-PBE | relaxed

Values from the calculation:
The calculation puts the density of states at the Fermi level at 5.00 states/eV/f.u. As for the total magnetization: 0.686 μB per atom. The value obtained for the formation enthalpy at 0 K is 981 meV/atom.

Geometry as CIF:
```
data_CoTcPb2
_chemical_formula_sum 'Co4 Tc4 Pb8'
_symmetry_space_group_name_H-M 'I -4 2 d'
_symmetry_Int_Tables_number 122
_symmetry_space_group_name_Hall 'I -4 2bw'
_cell_length_a 7.408
_cell_length_b 7.408
_cell_length_c 6.055
_cell_angle_alpha 90.00
_cell_angle_beta 90.00
_cell_angle_gamma 90.00
loop_
_atom_site_label
_atom_site_type_symbol
_atom_site_fract_x
_atom_site_fract_y
_atom_site_fract_z
Co1 Co 0.000 0.000 0.000
Tc1 Tc 0.000 0.000 0.500
Pb1 Pb 0.221 0.250 0.125
```

Record 2
CoTc2Pb | GGA-PBE | relaxed

Values from the calculation:
The calculation puts the density of states at the Fermi level at 4.72 states/eV/f.u. As for the total magnetization: 0.350 μB per atom. The value obtained for the formation enthalpy at 0 K is 576 meV/atom.

Geometry as CIF:
```
data_CoTc2Pb
_chemical_formula_sum 'Co1 Tc2 Pb1'
_symmetry_space_group_name_H-M 'P m m m'
_symmetry_Int_Tables_number 47
_symmetry_space_group_name_Hall '-P 2 2'
_cell_length_a 2.895
_cell_length_b 3.735
_cell_length_c 6.134
_cell_angle_alpha 90.00
_cell_angle_beta 90.00
_cell_angle_gamma 90.00
loop_
_atom_site_label
_atom_site_type_symbol
_atom_site_fract_x
_atom_site_fract_y
_atom_site_fract_z
Co1 Co 0.000 0.000 0.000
Tc1 Tc 0.500 0.500 0.190
Pb1 Pb 0.000 0.000 0.500
```

Record 3
CoTc2Pb | GGA-PBE | relaxed

Values from the calculation:
The calculation puts the density of states at the Fermi level at 4.91 states/eV/f.u. As for the total magnetization: 0.199 μB per atom. The value obtained for the formation enthalpy at 0 K is 512 meV/atom.

Geometry as CIF:
```
data_CoTc2Pb
_chemical_formula_sum 'Co2 Tc4 Pb2'
_symmetry_space_group_name_H-M 'C 1 2/m 1'
_symmetry_Int_Tables_number 12
_symmetry_space_group_name_Hall '-C 2y'
_cell_length_a 9.070
_cell_length_b 2.989
_cell_length_c 4.848
_cell_angle_alpha 90.00
_cell_angle_beta 102.13
_cell_angle_gamma 90.00
loop_
_atom_site_label
_atom_site_type_symbol
_atom_site_fract_x
_atom_site_fract_y
_atom_site_fract_z
Co1 Co 0.000 0.000 0.000
Tc1 Tc 0.234 0.500 0.200
Pb1 Pb 0.000 0.500 0.500
```

Record 4
CoTc3Pb | GGA-PBE | relaxed

Values from the calculation:
The calculation puts the density of states at the Fermi level at 6.99 states/eV/f.u. As for the total magnetization: 0.399 μB per atom. The value obtained for the formation enthalpy at 0 K is 1235 meV/atom.

Geometry as CIF:
```
data_CoTc3Pb
_chemical_formula_sum 'Co1 Tc3 Pb1'
_symmetry_space_group_name_H-M 'P m -3 m'
_symmetry_Int_Tables_number 221
_symmetry_space_group_name_Hall '-P 4 2 3'
_cell_length_a 4.493
_cell_length_b 4.493
_cell_length_c 4.493
_cell_angle_alpha 90.00
_cell_angle_beta 90.00
_cell_angle_gamma 90.00
loop_
_atom_site_label
_atom_site_type_symbol
_atom_site_fract_x
_atom_site_fract_y
_atom_site_fract_z
Co1 Co 0.000 0.000 0.000
Tc1 Tc 0.000 0.000 0.500
Pb1 Pb 0.500 0.500 0.500
```

Record 5
CoTc2Pb | GGA-PBE | relaxed

Values from the calculation:
The calculation puts the density of states at the Fermi level at 5.14 states/eV/f.u. As for the total magnetization: 0.252 μB per atom. The value obtained for the formation enthalpy at 0 K is 729 meV/atom.

Geometry as CIF:
```
data_CoTc2Pb
_chemical_formula_sum 'Co2 Tc4 Pb2'
_symmetry_space_group_name_H-M 'C m m m'
_symmetry_Int_Tables_number 65
_symmetry_space_group_name_Hall '-C 2 2'
_cell_length_a 5.144
_cell_length_b 8.346
_cell_length_c 2.991
_cell_angle_alpha 90.00
_cell_angle_beta 90.00
_cell_angle_gamma 90.00
loop_
_atom_site_label
_atom_site_type_symbol
_atom_site_fract_x
_atom_site_fract_y
_atom_site_fract_z
Co1 Co 0.000 0.000 0.000
Tc1 Tc 0.250 0.250 0.500
Pb1 Pb 0.000 0.500 0.000
```

Record 6
CoTc2Pb | GGA-PBE | relaxed

Values from the calculation:
The calculation puts the density of states at the Fermi level at 4.47 states/eV/f.u. As for the total magnetization: 0.401 μB per atom. The value obtained for the formation enthalpy at 0 K is 555 meV/atom.

Geometry as CIF:
```
data_CoTc2Pb
_chemical_formula_sum 'Co2 Tc4 Pb2'
_symmetry_space_group_name_H-M 'I m m 2'
_symmetry_Int_Tables_number 44
_symmetry_space_group_name_Hall 'I 2 -2'
_cell_length_a 4.077
_cell_length_b 4.084
_cell_length_c 7.521
_cell_angle_alpha 90.00
_cell_angle_beta 90.00
_cell_angle_gamma 90.00
loop_
_atom_site_label
_atom_site_type_symbol
_atom_site_fract_x
_atom_site_fract_y
_atom_site_fract_z
Co1 Co 0.000 0.000 0.000
Tc1 Tc 0.000 0.000 0.500
Tc2 Tc 0.000 0.500 0.249
Pb1 Pb 0.000 0.500 0.750
```

Record 7
CoTcPb2 | GGA-PBE | relaxed

Values from the calculation:
The calculation puts the density of states at the Fermi level at 4.33 states/eV/f.u. As for the total magnetization: 0.082 μB per atom. The value obtained for the formation enthalpy at 0 K is 805 meV/atom.

Geometry as CIF:
```
data_CoTcPb2
_chemical_formula_sum 'Co2 Tc2 Pb4'
_symmetry_space_group_name_H-M 'C m m m'
_symmetry_Int_Tables_number 65
_symmetry_space_group_name_Hall '-C 2 2'
_cell_length_a 3.488
_cell_length_b 5.370
_cell_length_c 8.279
_cell_angle_alpha 90.00
_cell_angle_beta 90.00
_cell_angle_gamma 90.00
loop_
_atom_site_label
_atom_site_type_symbol
_atom_site_fract_x
_atom_site_fract_y
_atom_site_fract_z
Co1 Co 0.000 0.000 0.000
Tc1 Tc 0.000 0.000 0.500
Pb1 Pb 0.000 0.500 0.238
```

Record 8
CoTcPb2 | GGA-PBE | relaxed

Values from the calculation:
The calculation puts the density of states at the Fermi level at 1.21 states/eV/f.u. As for the total magnetization: 0.000 μB per atom. The value obtained for the formation enthalpy at 0 K is 695 meV/atom.

Geometry as CIF:
```
data_CoTcPb2
_chemical_formula_sum 'Co4 Tc4 Pb8'
_symmetry_space_group_name_H-M 'F m -3 m'
_symmetry_Int_Tables_number 225
_symmetry_space_group_name_Hall '-F 4 2 3'
_cell_length_a 6.649
_cell_length_b 6.649
_cell_length_c 6.649
_cell_angle_alpha 90.00
_cell_angle_beta 90.00
_cell_angle_gamma 90.00
loop_
_atom_site_label
_atom_site_type_symbol
_atom_site_fract_x
_atom_site_fract_y
_atom_site_fract_z
Co1 Co 0.000 0.000 0.000
Tc1 Tc 0.000 0.000 0.500
Pb1 Pb 0.250 0.250 0.250
```

Record 9
CoTcPb2 | GGA-PBE | relaxed

Values from the calculation:
The calculation puts the density of states at the Fermi level at 3.90 states/eV/f.u. As for the total magnetization: 0.538 μB per atom. The value obtained for the formation enthalpy at 0 K is 626 meV/atom.

Geometry as CIF:
```
data_CoTcPb2
_chemical_formula_sum 'Co2 Tc2 Pb4'
_symmetry_space_group_name_H-M 'C 1 m 1'
_symmetry_Int_Tables_number 8
_symmetry_space_group_name_Hall 'C -2y'
_cell_length_a 10.605
_cell_length_b 3.120
_cell_length_c 5.083
_cell_angle_alpha 90.00
_cell_angle_beta 108.91
_cell_angle_gamma 90.00
loop_
_atom_site_label
_atom_site_type_symbol
_atom_site_fract_x
_atom_site_fract_y
_atom_site_fract_z
Co1 Co 0.000 0.000 0.000
Tc1 Tc 0.169 0.500 0.287
Pb1 Pb 0.230 0.000 0.827
Pb2 Pb 0.436 0.000 0.460
```

Record 10
CoTc2Pb | GGA-PBE | relaxed

Values from the calculation:
The calculation puts the density of states at the Fermi level at 2.88 states/eV/f.u. As for the total magnetization: 0.357 μB per atom. The value obtained for the formation enthalpy at 0 K is 573 meV/atom.

Geometry as CIF:
```
data_CoTc2Pb
_chemical_formula_sum 'Co3 Tc6 Pb3'
_symmetry_space_group_name_H-M 'R 3 m'
_symmetry_Int_Tables_number 160
_symmetry_space_group_name_Hall 'R 3 -2"'
_cell_length_a 2.9355
_cell_length_b 2.9355
_cell_length_c 26.6526
_cell_angle_alpha 90.00
_cell_angle_beta 90.00
_cell_angle_gamma 120.00
loop_
_atom_site_label
_atom_site_type_symbol
_atom_site_fract_x
_atom_site_fract_y
_atom_site_fract_z
Co1 Co 0.0000 0.0000 0.0000
Tc1 Tc 0.0000 0.0000 0.4821
Tc2 Tc 0.0000 0.0000 0.7400
Pb1 Pb 0.0000 0.0000 0.2448
```

Record 11
CoTc2Pb | GGA-PBE | relaxed

Values from the calculation:
The calculation puts the density of states at the Fermi level at 5.14 states/eV/f.u. As for the total magnetization: 0.260 μB per atom. The value obtained for the formation enthalpy at 0 K is 863 meV/atom.

Geometry as CIF:
```
data_CoTc2Pb
_chemical_formula_sum 'Co4 Tc8 Pb4'
_symmetry_space_group_name_H-M 'I -4 2 d'
_symmetry_Int_Tables_number 122
_symmetry_space_group_name_Hall 'I -4 2bw'
_cell_length_a 7.344
_cell_length_b 7.344
_cell_length_c 5.085
_cell_angle_alpha 90.00
_cell_angle_beta 90.00
_cell_angle_gamma 90.00
loop_
_atom_site_label
_atom_site_type_symbol
_atom_site_fract_x
_atom_site_fract_y
_atom_site_fract_z
Co1 Co 0.000 0.000 0.000
Tc1 Tc 0.188 0.250 0.125
Pb1 Pb 0.000 0.000 0.500
```

Record 12
CoTcPb2 | GGA-PBE | relaxed

Values from the calculation:
The calculation puts the density of states at the Fermi level at 4.56 states/eV/f.u. As for the total magnetization: 0.427 μB per atom. The value obtained for the formation enthalpy at 0 K is 768 meV/atom.

Geometry as CIF:
```
data_CoTcPb2
_chemical_formula_sum 'Co2 Tc2 Pb4'
_symmetry_space_group_name_H-M 'C 1 2/m 1'
_symmetry_Int_Tables_number 12
_symmetry_space_group_name_Hall '-C 2y'
_cell_length_a 8.477
_cell_length_b 3.283
_cell_length_c 5.712
_cell_angle_alpha 90.00
_cell_angle_beta 103.45
_cell_angle_gamma 90.00
loop_
_atom_site_label
_atom_site_type_symbol
_atom_site_fract_x
_atom_site_fract_y
_atom_site_fract_z
Co1 Co 0.000 0.000 0.000
Tc1 Tc 0.000 0.500 0.500
Pb1 Pb 0.245 0.500 0.243
```

Q: Among the records above, which one has the highest formation enthalpy at 0 K?
A: CoTc3Pb

Q: formation enthalpy at 0 K of number 8 (CoTcPb2)?
A: 695 meV/atom

Q: Look up the formation enthalpy at 0 K of the first one.
A: 981 meV/atom

Q: What is the formation enthalpy at 0 K in the ninth record?
A: 626 meV/atom